Here is a relaxed Mn2NiAgH crystal from Alexandria. Energies are from PBE.

Calculated values
Total magnetic moment ... 7.80 μB per formula unit
Electronic total energy ... -29.56 eV per formula unit
Volume ... 11.8 A^3/atom

a b c (Å): 4.0329 4.0329 3.6352
angles (deg): 90.00 90.00 90.00
Space group P4/mmm (No. 123)
Inequivalent atoms, fractional coordinates:
Mn 0.0000 0.5000 0.0000 [2 per cell]
Ni 0.0000 0.0000 0.5000 [1 per cell]
Ag 0.5000 0.5000 0.5000 [1 per cell]
H 0.0000 0.0000 0.0000 [1 per cell]